LiSbPtAu GGA-PBE relaxed; space group = F-43m; Fermi-level density of states = 1.1 states/eV/f.u.; E_tot = -4.21 eV per atom; volume = 17.6 Å³/atom; formation energy (no corrections) = -373 meV/atom
1.0
0.000 3.280 3.280
3.280 0.000 3.280
3.280 3.280 0.000
Li Sb Pt Au
1 1 1 1
Cartesian
0.000 0.000 0.000
1.640 1.640 1.640
3.280 3.280 3.280
4.919 4.919 4.919